(1)
SrNiIr2 PBE relaxed; crystal system = tetragonal; space group = No. 119; E_tot = -5.76 eV/atom; energy above the most stable polymorph in this dataset = 1.35 eV per formula unit; formation energy from the elements = 0.536 eV per atom
1.0
-2.111 2.111 3.871
2.111 -2.111 3.871
2.111 2.111 -3.871
Sr Ni Ir
1 1 2
Cartesian
0.000 0.000 0.000
0.000 2.111 1.935
2.111 0.000 1.935
0.000 0.000 3.871

(2)
RbTlCl3 PBE relaxed; crystal system = monoclinic; space group = No. 14; E_tot = -2.98 eV/atom
1.0
8.935 0.000 0.000
0.000 6.334 0.000
-4.329 0.000 12.435
Rb Tl Cl
4 4 12
Cartesian
1.078 1.222 2.247
-1.086 1.945 8.465
5.692 4.389 3.970
3.528 5.112 10.188
-0.848 4.233 12.434
1.317 5.267 6.217
3.289 1.067 6.218
5.454 2.100 0.000
-2.802 3.281 11.000
-0.637 6.219 4.783
-1.501 0.289 11.807
0.664 2.878 5.589
2.494 4.333 2.394
0.330 5.167 8.611
4.276 1.166 3.824
2.112 2.000 10.041
3.942 3.456 6.845
6.106 6.045 0.628
5.243 0.115 7.652
7.408 3.052 1.434

(3)
LiCo2BAs PBE relaxed; crystal system = monoclinic; space group = No. 8; E_tot = -5.55 eV/atom; energy above the most stable polymorph in this dataset = 1.14 eV per formula unit; formation energy from the elements = -0.061 eV per atom
1.0
3.917 -1.475 0.000
3.917 1.475 0.000
-0.021 0.000 4.938
Li Co B As
1 2 1 1
Cartesian
0.000 0.000 0.000
2.208 0.000 1.362
4.348 0.000 2.747
7.225 0.000 2.009
2.115 0.000 3.834

(4)
TbPr6Nd3 PBE relaxed; crystal system = orthorhombic; space group = No. 36; E_tot = -4.63 eV/atom; energy above the most stable polymorph in this dataset = 0.00 eV per formula unit; formation energy from the elements = 0.129 eV per atom
1.0
5.552 -9.775 0.000
5.552 9.775 0.000
0.000 0.000 6.569
Tb Pr Nd
2 12 6
Cartesian
5.552 6.045 3.285
5.552 -6.045 0.000
5.552 9.113 4.941
2.963 4.065 1.581
5.552 4.323 6.306
3.660 0.794 0.347
3.660 -0.794 3.632
2.963 -4.065 4.865
8.142 4.065 1.581
7.445 0.794 0.347
7.445 -0.794 3.632
5.552 -4.323 3.021
8.142 -4.065 4.865
5.552 -9.113 1.656
1.941 2.300 4.268
1.941 -2.300 0.983
5.552 2.279 3.464
5.552 -2.279 0.180
9.163 2.300 4.268
9.163 -2.300 0.983

(5)
HoAlHgPd PBE relaxed; crystal system = cubic; space group = No. 216; E_tot = -4.02 eV/atom; formation energy from the elements = -0.568 eV per atom
1.0
0.000 3.407 3.407
3.407 0.000 3.407
3.407 3.407 0.000
Ho Al Hg Pd
1 1 1 1
Cartesian
0.000 0.000 0.000
3.407 3.407 3.407
1.703 1.703 1.703
5.110 5.110 5.110

(6)
CaReRhN2 PBE relaxed; crystal system = tetragonal; space group = No. 123; E_tot = -6.08 eV/atom
1.0
4.048 0.000 0.000
0.000 4.048 0.000
0.000 0.000 4.868
Ca Re Rh N
1 1 1 2
Cartesian
0.000 0.000 0.000
2.024 2.024 0.000
2.024 2.024 2.434
0.000 2.024 2.434
2.024 0.000 2.434

(7)
HfHgTeMo2 PBE relaxed; crystal system = tetragonal; space group = No. 123; E_tot = -5.42 eV/atom
1.0
4.909 0.000 0.000
0.000 4.909 0.000
0.000 0.000 5.337
Hf Hg Te Mo
1 1 1 2
Cartesian
0.000 0.000 0.000
0.000 0.000 2.668
2.455 2.455 2.668
0.000 2.455 0.000
2.455 0.000 0.000

(8)
BaBr PBE relaxed; crystal system = cubic; space group = No. 227; E_tot = -2.61 eV/atom
1.0
0.000 4.205 4.205
4.205 0.000 4.205
4.205 4.205 0.000
Ba Br
2 2
Cartesian
1.051 1.051 1.051
7.358 7.358 7.358
3.153 3.153 3.153
5.256 5.256 5.256